Compound: VInHgO4
Source: Alexandria via LeMat-Bulk
Functional: PBE with a Hubbard U
Structure: relaxed

Cell and atoms, written as POSCAR:
```
VInHgO4
1.0
5.742 -3.112 0.000
5.742 3.112 0.000
-1.509 0.000 6.545
V In Hg O
2 2 2 8
direct
0.134 0.134 0.268 V
0.866 0.866 0.732 V
0.208 0.208 0.844 In
0.792 0.792 0.156 In
0.463 0.463 0.266 Hg
0.537 0.537 0.734 Hg
0.018 0.018 0.762 O
0.039 0.600 0.868 O
0.204 0.204 0.519 O
0.400 0.961 0.132 O
0.600 0.039 0.868 O
0.796 0.796 0.481 O
0.961 0.400 0.132 O
0.982 0.982 0.238 O
```

M_tot = 0.00 μB per formula unit
Total energy = -5.713 eV/atom